Record 1
DFT (PBE-GGA) results for a geometry-optimized NaLiZnSi2 structure.

Cell lengths 5.035, 5.023, 5.035 Å; angles 90.00, 90.00, 90.00 degrees
Fractional coordinates of all 5 atoms:
Na  0.000  0.000  0.000
Si  0.000  0.000  0.500
Li  0.500  0.500  0.500
Zn  0.000  0.500  0.000
Si  0.500  0.000  0.000

Summary:
VASP energy ... -2.01 eV/atom
Formation energy without anion corrections ... 102.42 kJ per mole of atoms



Record 2
DFT (PBE-GGA) results for a geometry-optimized NaLiZnSi structure.

Cell lengths 4.516, 4.516, 4.516 Å; angles 60.00, 60.00, 60.00 degrees
Fractional coordinates of all 4 atoms:
Zn  0.750  0.750  0.750
Na  0.000  0.000  0.000
Li  0.250  0.250  0.250
Si  0.500  0.500  0.500

Summary:
VASP energy ... -2.53 eV/atom
Formation energy without anion corrections ... -4.63 kJ per mole of atoms



Record 3
DFT (PBE-GGA) results for a geometry-optimized NaLi2ZnSi structure.

Cell lengths 4.921, 4.921, 4.750 Å; angles 90.00, 90.00, 90.00 degrees
Fractional coordinates of all 5 atoms:
Li  0.000  0.500  0.000
Si  0.000  0.000  0.000
Li  0.500  0.000  0.000
Na  0.500  0.500  0.500
Zn  0.000  0.000  0.500

Summary:
VASP energy ... -2.35 eV/atom
Formation energy without anion corrections ... 1.91 kJ per mole of atoms



Record 4
DFT (PBE-GGA) results for a geometry-optimized NaLi2Sm structure.

Cell lengths 3.445, 3.445, 9.146 Å; angles 90.00, 90.00, 90.00 degrees
Fractional coordinates of all 4 atoms:
Sm  0.500  0.500  0.500
Li  0.000  0.000  0.244
Li  0.000  0.000  0.756
Na  0.500  0.500  0.000

Summary:
VASP energy ... -2.34 eV/atom
ΔE_f ... 0.131 eV per atom



Record 5
DFT (PBE-GGA) results for a geometry-optimized NaLiSm structure.

Cell lengths 3.459, 3.459, 8.765 Å; angles 90.00, 90.00, 120.00 degrees
Fractional coordinates of all 3 atoms:
Na  0.333  0.667  0.657
Li  0.667  0.333  0.327
Sm  0.000  0.000  0.017

Summary:
VASP energy ... -2.51 eV/atom
ΔE_f ... 0.137 eV per atom



Record 6
DFT (PBE-GGA) results for a geometry-optimized NaLi2Sm structure.

Cell lengths 3.331, 3.331, 12.178 Å; angles 82.14, 82.14, 60.00 degrees
Fractional coordinates of all 4 atoms:
Na  0.500  0.500  0.500
Li  0.914  0.914  0.258
Li  0.086  0.086  0.742
Sm  0.000  0.000  0.000

Summary:
VASP energy ... -2.27 eV/atom
ΔE_f ... 0.199 eV per atom



Record 7
DFT (PBE-GGA) results for a geometry-optimized NaLi2Sm structure.

Cell lengths 3.421, 3.421, 11.401 Å; angles 81.76, 81.76, 60.12 degrees
Fractional coordinates of all 4 atoms:
Sm  0.500  0.500  0.500
Li  0.249  0.249  0.252
Li  0.084  0.084  0.748
Na  0.667  0.667  0.000

Summary:
VASP energy ... -2.36 eV/atom
ΔE_f ... 0.109 eV per atom



Record 8
DFT (PBE-GGA) results for a geometry-optimized NaLiSm structure.

Cell lengths 3.335, 3.335, 8.476 Å; angles 101.35, 101.35, 90.00 degrees
Fractional coordinates of all 3 atoms:
Na  0.325  0.325  0.650
Li  0.665  0.665  0.329
Sm  0.010  0.010  0.021

Summary:
VASP energy ... -2.46 eV/atom
ΔE_f ... 0.186 eV per atom



Record 9
DFT (PBE-GGA) results for a geometry-optimized NaLiSm structure.

Cell lengths 3.559, 3.559, 14.359 Å; angles 90.00, 90.00, 90.00 degrees
Fractional coordinates of all 6 atoms:
Sm  0.500  0.000  0.413
Li  0.500  0.000  0.749
Na  0.500  0.000  0.096
Na  0.000  0.500  0.904
Sm  0.000  0.500  0.587
Li  0.000  0.500  0.251

Summary:
VASP energy ... -2.58 eV/atom
ΔE_f ... 0.072 eV per atom



Record 10
DFT (PBE-GGA) results for a geometry-optimized NaLiSmSn structure.

Cell lengths 5.224, 5.224, 5.224 Å; angles 60.00, 60.00, 60.00 degrees
Fractional coordinates of all 4 atoms:
Sn  0.250  0.250  0.250
Na  0.750  0.750  0.750
Sm  0.000  0.000  0.000
Li  0.500  0.500  0.500

Summary:
VASP energy ... -3.29 eV/atom
ΔE_f ... -0.305 eV per atom



Record 11
DFT (PBE-GGA) results for a geometry-optimized NaLiSm2Tl4 structure.

Cell lengths 5.329, 5.329, 9.192 Å; angles 73.15, 73.15, 60.00 degrees
Fractional coordinates of all 8 atoms:
Tl  0.377  0.377  0.869
Sm  0.250  0.250  0.250
Tl  0.874  0.874  0.379
Tl  0.126  0.126  0.621
Na  0.000  0.000  0.000
Sm  0.750  0.750  0.750
Li  0.500  0.500  0.500
Tl  0.623  0.623  0.131

Summary:
VASP energy ... -3.06 eV/atom
ΔE_f ... -0.292 eV per atom



Record 12
DFT (PBE-GGA) results for a geometry-optimized Na3Li4Sn2 structure.

Cell lengths 4.931, 4.931, 9.455 Å; angles 90.00, 90.00, 120.01 degrees
Fractional coordinates of all 9 atoms:
Na  0.000  0.000  0.000
Na  0.333  0.667  0.580
Na  0.667  0.333  0.420
Li  0.333  0.667  0.894
Sn  0.333  0.666  0.222
Li  0.667  0.333  0.106
Li  0.000  0.000  0.295
Li  0.000  0.000  0.705
Sn  0.667  0.334  0.778

Summary:
VASP energy ... -2.44 eV/atom
ΔE_f ... -0.259 eV per atom



Record 13
DFT (PBE-GGA) results for a geometry-optimized NaLi2Sn9 structure.

Cell lengths 4.672, 4.672, 13.981 Å; angles 90.00, 90.00, 90.00 degrees
Fractional coordinates of all 12 atoms:
Sn  0.500  0.500  0.336
Li  0.000  0.000  0.335
Sn  0.000  0.500  0.828
Sn  0.500  0.500  0.664
Sn  0.000  0.500  0.172
Sn  0.500  0.000  0.828
Sn  0.000  0.500  0.500
Sn  0.500  0.000  0.172
Li  0.000  0.000  0.665
Na  0.000  0.000  0.000
Sn  0.500  0.500  0.000
Sn  0.500  0.000  0.500

Summary:
VASP energy ... -3.57 eV/atom
ΔE_f ... -0.134 eV per atom



Record 14
DFT (PBE-GGA) results for a geometry-optimized NaLiSn3 structure.

Cell lengths 5.130, 5.130, 5.130 Å; angles 90.00, 90.00, 90.00 degrees
Fractional coordinates of all 5 atoms:
Na  0.500  0.500  0.500
Sn  0.000  0.000  0.500
Sn  0.500  0.000  0.000
Sn  0.000  0.500  0.000
Li  0.000  0.000  0.000

Summary:
VASP energy ... -3.01 eV/atom
ΔE_f ... 0.040 eV per atom



Record 15
DFT (PBE-GGA) results for a geometry-optimized Na2LiSn6 structure.

Cell lengths 6.845, 6.456, 6.456 Å; angles 59.99, 90.00, 90.00 degrees
Fractional coordinates of all 9 atoms:
Sn  0.317  0.339  0.831
Na  0.877  0.667  0.667
Sn  0.317  0.831  0.831
Sn  0.683  0.169  0.661
Sn  0.683  0.661  0.169
Sn  0.683  0.169  0.169
Na  0.123  0.333  0.333
Li  0.000  0.000  0.000
Sn  0.317  0.831  0.339

Summary:
VASP energy ... -3.31 eV/atom
ΔE_f ... -0.139 eV per atom



Record 16
DFT (PBE-GGA) results for a geometry-optimized NaLi4Sn2 structure.

Cell lengths 7.988, 5.724, 7.266 Å; angles 90.00, 112.30, 90.00 degrees
Fractional coordinates of all 14 atoms:
Sn  0.620  0.750  0.568
Sn  0.767  0.750  0.008
Li  0.425  0.508  0.790
Li  0.425  0.992  0.790
Na  0.203  0.750  0.271
Li  0.901  0.750  0.417
Li  0.099  0.250  0.583
Sn  0.233  0.250  0.992
Sn  0.380  0.250  0.432
Li  0.054  0.750  0.842
Li  0.575  0.492  0.210
Li  0.575  0.008  0.210
Li  0.946  0.250  0.158
Na  0.797  0.250  0.729

Summary:
VASP energy ... -2.66 eV/atom
ΔE_f ... -0.236 eV per atom



Record 17
DFT (PBE-GGA) results for a geometry-optimized Na4LiSn structure.

Cell lengths 5.999, 5.859, 11.237 Å; angles 90.00, 90.00, 90.00 degrees
Fractional coordinates of all 12 atoms:
Na  0.319  0.526  0.500
Na  0.313  0.151  0.250
Na  0.802  0.474  0.500
Sn  0.062  0.000  0.000
Li  0.063  0.000  0.500
Na  0.819  0.474  0.000
Na  0.302  0.526  0.000
Na  0.813  0.849  0.750
Na  0.313  0.151  0.750
Sn  0.562  0.000  0.500
Li  0.563  0.000  0.000
Na  0.813  0.849  0.250

Summary:
VASP energy ... -1.91 eV/atom
ΔE_f ... -0.044 eV per atom



Record 18
DFT (PBE-GGA) results for a geometry-optimized NaLi14Sn structure.

Cell lengths 6.105, 6.105, 8.567 Å; angles 90.00, 90.00, 89.98 degrees
Fractional coordinates of all 16 atoms:
Li  0.375  0.875  0.000
Li  0.136  0.136  0.751
Li  0.136  0.136  0.249
Na  0.875  0.875  0.500
Li  0.614  0.136  0.751
Li  0.136  0.614  0.249
Li  0.375  0.375  0.000
Li  0.614  0.614  0.751
Li  0.375  0.875  0.500
Li  0.875  0.875  0.000
Li  0.875  0.375  0.000
Li  0.614  0.136  0.249
Sn  0.375  0.375  0.500
Li  0.614  0.614  0.249
Li  0.136  0.614  0.751
Li  0.875  0.375  0.500

Summary:
VASP energy ... -2.08 eV/atom
ΔE_f ... -0.075 eV per atom



Record 19
DFT (PBE-GGA) results for a geometry-optimized Na2LiSn structure.

Cell lengths 5.290, 5.902, 6.543 Å; angles 90.63, 90.00, 90.00 degrees
Fractional coordinates of all 8 atoms:
Sn  0.750  0.351  0.751
Na  0.750  0.837  0.999
Sn  0.250  0.649  0.249
Na  0.250  0.163  0.001
Na  0.250  0.166  0.490
Li  0.750  0.401  0.250
Li  0.250  0.599  0.750
Na  0.750  0.834  0.510

Summary:
VASP energy ... -2.30 eV/atom
ΔE_f ... -0.158 eV per atom



Record 20
DFT (PBE-GGA) results for a geometry-optimized Na2Li8Sn3 structure.

Cell lengths 5.653, 5.653, 10.811 Å; angles 74.84, 74.84, 60.00 degrees
Fractional coordinates of all 13 atoms:
Na  0.636  0.636  0.093
Na  0.364  0.364  0.907
Li  0.723  0.212  0.343
Li  0.277  0.788  0.657
Li  0.726  0.726  0.823
Sn  0.812  0.812  0.563
Li  0.788  0.277  0.657
Li  0.212  0.723  0.343
Li  0.274  0.274  0.177
Sn  0.188  0.188  0.437
Li  0.723  0.723  0.343
Li  0.277  0.277  0.657
Sn  0.000  0.000  0.000

Summary:
VASP energy ... -2.44 eV/atom
ΔE_f ... -0.141 eV per atom



Record 21
DFT (PBE-GGA) results for a geometry-optimized Na3Li2Sn3 structure.

Cell lengths 3.225, 8.421, 8.421 Å; angles 120.00, 90.00, 90.00 degrees
Fractional coordinates of all 8 atoms:
Sn  0.500  0.605  0.000
Li  0.000  0.667  0.333
Li  0.000  0.333  0.667
Na  0.000  0.000  0.251
Na  0.000  0.251  0.000
Sn  0.500  0.000  0.605
Sn  0.500  0.395  0.395
Na  0.000  0.749  0.749

Summary:
VASP energy ... -2.70 eV/atom
ΔE_f ... -0.225 eV per atom



Record 22
DFT (PBE-GGA) results for a geometry-optimized NaLiSn3 structure.

Cell lengths 5.984, 9.819, 9.160 Å; angles 98.91, 90.00, 90.00 degrees
Fractional coordinates of all 20 atoms:
Na  0.376  0.282  0.376
Sn  0.598  0.630  0.219
Li  0.641  0.315  0.054
Li  0.141  0.185  0.946
Sn  0.172  0.469  0.111
Na  0.876  0.218  0.624
Sn  0.828  0.531  0.889
Sn  0.634  0.932  0.368
Sn  0.402  0.370  0.781
Li  0.359  0.685  0.946
Sn  0.134  0.568  0.632
Sn  0.672  0.031  0.889
Sn  0.328  0.969  0.111
Na  0.124  0.782  0.376
Sn  0.098  0.870  0.781
Na  0.624  0.718  0.624
Sn  0.366  0.068  0.632
Li  0.859  0.815  0.054
Sn  0.866  0.432  0.368
Sn  0.902  0.130  0.219

Summary:
VASP energy ... -3.21 eV/atom
ΔE_f ... -0.158 eV per atom



Record 23
DFT (PBE-GGA) results for a geometry-optimized NaLi2Sn2 structure.

Cell lengths 8.177, 8.177, 3.381 Å; angles 90.00, 90.00, 90.00 degrees
Fractional coordinates of all 10 atoms:
Li  0.666  0.166  0.000
Sn  0.630  0.870  0.500
Sn  0.370  0.130  0.500
Sn  0.130  0.630  0.500
Na  0.500  0.500  0.000
Li  0.834  0.666  0.000
Na  0.000  0.000  0.000
Li  0.334  0.834  0.000
Li  0.166  0.334  0.000
Sn  0.870  0.370  0.500

Summary:
VASP energy ... -2.90 eV/atom
ΔE_f ... -0.272 eV per atom



Record 24
DFT (PBE-GGA) results for a geometry-optimized Na6LiSn structure.

Cell lengths 8.801, 8.801, 6.244 Å; angles 45.22, 45.23, 60.02 degrees
Fractional coordinates of all 8 atoms:
Na  0.242  0.000  0.258
Na  0.500  0.242  0.257
Na  0.001  0.500  0.258
Na  0.999  0.500  0.742
Na  0.758  0.000  0.742
Na  0.500  0.758  0.743
Sn  0.000  0.000  0.000
Li  0.500  0.500  0.500

Summary:
VASP energy ... -1.75 eV/atom
ΔE_f ... -0.022 eV per atom